DFT (PBE) results for a relaxed AsC3 crystal.

a = 2.6603 Å, b = 2.6603 Å, c = 27.1903 Å
α = 90.00°, β = 90.00°, γ = 90.00°
Last column: nearest neighbours and their distance in Å.
Space group I4/mmm (No. 139)
Asymmetric unit:
As1 0.0000 0.0000 0.1426 (multiplicity 4)  4 C 1.92
C1 0.0000 0.0000 0.3711 (multiplicity 4)  4 As 1.92
C2 0.0000 0.5000 0.0000 (multiplicity 4)  4 C 1.88
C3 0.0000 0.5000 0.2500 (multiplicity 4)  4 C 1.88

The crystal system is tetragonal. As for the energy above the most stable polymorph in this dataset: 1.9566 eV per atom. The calculation puts the formation enthalpy at 0 K at 2.719 eV per atom.


DFT (PBE) results for a relaxed Pm4GaAu5 crystal.

a = 3.6885 Å, b = 3.6885 Å, c = 17.5371 Å
α = 90.00°, β = 90.00°, γ = 90.00°
Last column: nearest neighbours and their distance in Å.
Space group P4/mmm (No. 123)
Asymmetric unit:
Pm1 0.0000 0.0000 0.1063 (multiplicity 2)  8 Au 3.17-3.21
Pm2 0.0000 0.0000 0.3174 (multiplicity 2)  8 Au 3.10-3.22, 1 Ga 3.20
Ga1 0.0000 0.0000 0.5000 (multiplicity 1)  8 Au 3.02, 2 Pm 3.20
Au1 0.5000 0.5000 0.0000 (multiplicity 1)  8 Pm 3.21
Au2 0.5000 0.5000 0.2094 (multiplicity 2)  8 Pm 3.17-3.22
Au3 0.5000 0.5000 0.4133 (multiplicity 2)  4 Ga 3.02, 1 Au 3.04, 4 Pm 3.10

The crystal system is tetragonal. The calculation puts the formation enthalpy at 0 K at -0.682 eV per atom.


DFT (PBE) results for a relaxed Li2CeSnBr8 crystal.

a = 7.0150 Å, b = 7.2144 Å, c = 8.8406 Å
α = 73.09°, β = 89.97°, γ = 77.87°
Last column: nearest neighbours and their distance in Å.
Space group P-1 (No. 2)
Asymmetric unit:
Li1 0.0442 0.1466 0.3288 (multiplicity 2)  4 Br 2.51-2.68
Ce1 0.5000 0.5000 0.0000 (multiplicity 1)  6 Br 2.77-2.88
Sn1 0.5000 0.5000 0.5000 (multiplicity 1)  6 Br 2.95-3.05
Br1 0.1110 0.7696 0.4364 (multiplicity 2)  2 Li 2.51-2.55
Br2 0.1337 0.7514 0.9452 (multiplicity 2)  1 Li 2.56, 1 Ce 2.77
Br3 0.3814 0.2825 0.8154 (multiplicity 2)  1 Ce 2.80, 1 Sn 2.99
Br4 0.3834 0.2650 0.2928 (multiplicity 2)  1 Li 2.68, 1 Ce 2.88

Its formation energy from raw total energies is -1345 meV per atom. The crystal system is triclinic.


DFT (PBE) results for a relaxed ReOsRu4Rh2 crystal.

a = 4.7049 Å, b = 2.7221 Å, c = 9.0159 Å
α = 90.00°, β = 100.17°, γ = 90.00°
Last column: nearest neighbours and their distance in Å.
Space group P2/m (No. 10)
Asymmetric unit:
Re1 0.0000 0.0000 0.0000 (multiplicity 1)  6 Ru 2.69-2.70, 4 Os 2.72, 2 Re 2.72
Os1 0.5000 0.5000 0.0000 (multiplicity 1)  6 Ru 2.70, 4 Re 2.72, 2 Os 2.72
Ru1 0.2483 0.5000 0.2474 (multiplicity 2)  2 Re 2.70, 1 Os 2.70, 6 Ru 2.71-2.73, 3 Rh 2.74
Ru2 0.2499 0.0000 0.7532 (multiplicity 2)  1 Re 2.69, 2 Os 2.70, 6 Ru 2.71-2.73, 3 Rh 2.74-2.75
Rh1 0.0000 0.5000 0.5000 (multiplicity 1)  6 Rh 2.72, 6 Ru 2.74
Rh2 0.5000 0.0000 0.5000 (multiplicity 1)  6 Rh 2.72, 6 Ru 2.74-2.75

The crystal system is monoclinic. The calculation puts the formation enthalpy at 0 K at 0.047 eV per atom.


DFT (PBE) results for a relaxed Hf2FeSe crystal.

a = 5.7968 Å, b = 5.7968 Å, c = 11.6615 Å
α = 90.00°, β = 90.00°, γ = 90.00°
Last column: nearest neighbours and their distance in Å.
Space group I-42d (No. 122)
Asymmetric unit:
Hf1 0.1960 0.2500 0.1250 (multiplicity 8)  2 Fe 2.35
Fe1 0.0000 0.0000 0.0000 (multiplicity 4)  4 Hf 2.35
Se1 0.0000 0.0000 0.5000 (multiplicity 4)  4 Hf 2.71

Its formation energy from raw total energies is 215 meV per atom. The crystal system is tetragonal.


DFT (PBE) results for a relaxed AlAs2W crystal.

a = 5.5830 Å, b = 7.2707 Å, c = 3.3584 Å
α = 90.00°, β = 102.15°, γ = 90.00°
Last column: nearest neighbours and their distance in Å.
Space group C2/m (No. 12)
Asymmetric unit:
Al1 0.0000 0.0000 0.0000 (multiplicity 2)  4 As 2.66, 2 W 2.79
As1 0.2500 0.2500 0.5000 (multiplicity 4)  2 W 2.66, 2 Al 2.66, 2 As 2.79
W1 0.0000 0.5000 0.0000 (multiplicity 2)  4 As 2.66, 2 Al 2.79

The crystal system is monoclinic. As for the energy above the most stable polymorph in this dataset: 0.2938 eV per atom. The calculation puts the formation enthalpy at 0 K at 0.359 eV per atom.


no.,total magnetization (μB per formula unit)
1,0.00
2,0.00
3,0.09
4,0.00
5,0.00
6,0.00